Entry from the Alexandria database: a PBEsol-optimized structure of Sr2WCl (SCAN).

Output
SG	Fm-3m (225)
energy relative to the elements, uncorrected	595	meV/atom
E above lowest polymorph	339	meV per atom
total magnetic moment	1.04	μB per atom

Unit cell a=5.4595 b=5.4595 c=5.4595 alpha=60.00 beta=60.00 gamma=60.00
Positions (direct):
Sr  0.2500  0.2500  0.2500
Sr  0.7500  0.7500  0.7500
W  0.0000  0.0000  0.0000
Cl  0.5000  0.5000  0.5000